VASP calculation (PBE) on TiAgPd after structural relaxation.

```
TiAgPd
1.0
3.199 0.000 0.000
0.000 3.199 0.000
0.000 0.000 9.758
Ti Ag Pd
2 2 2
direct
0.250 0.250 0.090 Ti
0.750 0.750 0.910 Ti
0.250 0.250 0.411 Ag
0.750 0.750 0.589 Ag
0.250 0.250 0.772 Pd
0.750 0.750 0.228 Pd
```

Calculated values
Formation energy from the elements (eV/atom): -0.32
Relative energy among the computed polymorphs (meV per atom): 0
Space-group type: P4/nmm